Version w
Density functional theory data (PBE-GGA) for a relaxed TeIr2Au crystal.

Output
D(E_F): 3.26 states/eV per cell
M_tot: 0.000 μB/atom

CIF file:
```
data_TeIr2Au
_chemical_formula_sum 'Te1 Ir2 Au1'
_space_group_name_H-M_alt 'P 1'
_space_group_IT_number 1
_space_group_name_Hall 'P 1'
_cell_length_a 2.930
_cell_length_b 2.930
_cell_length_c 8.611
_cell_angle_alpha 90.00
_cell_angle_beta 90.00
_cell_angle_gamma 90.00
loop_
_atom_site_label
_atom_site_fract_x
_atom_site_fract_y
_atom_site_fract_z
Te1 0.000 0.000 0.000
Ir1 0.000 0.000 0.559
Ir2 0.500 0.500 0.759
Au1 0.500 0.500 0.327
```

***

Version x
Density functional theory data (PBE-GGA) for a relaxed TeIr2Au crystal.

Output
D(E_F): 3.34 states/eV per cell
M_tot: 0.000 μB/atom

CIF file:
```
data_TeIr2Au
_chemical_formula_sum 'Te1 Ir2 Au1'
_space_group_name_H-M_alt 'P 1'
_space_group_IT_number 1
_space_group_name_Hall 'P 1'
_cell_length_a 4.319
_cell_length_b 3.483
_cell_length_c 5.055
_cell_angle_alpha 90.00
_cell_angle_beta 109.84
_cell_angle_gamma 90.00
loop_
_atom_site_label
_atom_site_fract_x
_atom_site_fract_y
_atom_site_fract_z
Te1 0.000 0.000 0.000
Ir1 0.500 0.000 0.500
Ir2 0.500 0.500 0.000
Au1 0.000 0.500 0.500
```

***

Stability, highest: version w

***

Version w
Density functional theory data (PBE-GGA) for a relaxed Cd2InSn crystal.

Output
D(E_F): 1.13 states/eV per cell
M_tot: 0.000 μB/atom

CIF file:
```
data_Cd2InSn
_chemical_formula_sum 'Cd2 In1 Sn1'
_space_group_name_H-M_alt 'P 1'
_space_group_IT_number 1
_space_group_name_Hall 'P 1'
_cell_length_a 4.640
_cell_length_b 4.640
_cell_length_c 4.689
_cell_angle_alpha 90.00
_cell_angle_beta 90.00
_cell_angle_gamma 90.00
loop_
_atom_site_label
_atom_site_fract_x
_atom_site_fract_y
_atom_site_fract_z
Cd1 0.000 0.500 0.000
Cd2 0.500 0.000 0.000
In1 0.000 0.000 0.500
Sn1 0.500 0.500 0.500
```

***

Version x
Density functional theory data (PBE-GGA) for a relaxed Cd2InSn crystal.

Output
D(E_F): 1.02 states/eV per cell
M_tot: 0.000 μB/atom

CIF file:
```
data_Cd2InSn
_chemical_formula_sum 'Cd2 In1 Sn1'
_space_group_name_H-M_alt 'P 1'
_space_group_IT_number 1
_space_group_name_Hall 'P 1'
_cell_length_a 3.745
_cell_length_b 3.745
_cell_length_c 7.334
_cell_angle_alpha 90.00
_cell_angle_beta 90.00
_cell_angle_gamma 90.00
loop_
_atom_site_label
_atom_site_fract_x
_atom_site_fract_y
_atom_site_fract_z
Cd1 0.000 0.000 0.246
Cd2 0.000 0.000 0.754
In1 0.500 0.500 0.000
Sn1 0.500 0.500 0.500
```

***

Stability, highest: version w

***

Version w
Density functional theory data (PBE-GGA) for a relaxed Mo2OsPt crystal.

Output
D(E_F): 6.24 states/eV per cell
M_tot: 0.000 μB/atom

CIF file:
```
data_Mo2OsPt
_chemical_formula_sum 'Mo2 Os1 Pt1'
_space_group_name_H-M_alt 'P 1'
_space_group_IT_number 1
_space_group_name_Hall 'P 1'
_cell_length_a 4.459
_cell_length_b 4.459
_cell_length_c 4.459
_cell_angle_alpha 60.00
_cell_angle_beta 60.00
_cell_angle_gamma 60.00
loop_
_atom_site_label
_atom_site_fract_x
_atom_site_fract_y
_atom_site_fract_z
Mo1 0.250 0.250 0.250
Mo2 0.750 0.750 0.750
Os1 0.000 0.000 0.000
Pt1 0.500 0.500 0.500
```

***

Version x
Density functional theory data (PBE-GGA) for a relaxed Mo2OsPt crystal.

Output
D(E_F): 3.91 states/eV per cell
M_tot: 0.000 μB/atom

CIF file:
```
data_Mo2OsPt
_chemical_formula_sum 'Mo2 Os1 Pt1'
_space_group_name_H-M_alt 'P 1'
_space_group_IT_number 1
_space_group_name_Hall 'P 1'
_cell_length_a 4.445
_cell_length_b 4.445
_cell_length_c 4.445
_cell_angle_alpha 60.00
_cell_angle_beta 60.00
_cell_angle_gamma 60.00
loop_
_atom_site_label
_atom_site_fract_x
_atom_site_fract_y
_atom_site_fract_z
Mo1 0.000 0.000 0.000
Mo2 0.250 0.250 0.250
Os1 0.500 0.500 0.500
Pt1 0.750 0.750 0.750
```

***

Stability, highest: version x

***

Version w
Density functional theory data (PBE-GGA) for a relaxed Mn3Br crystal.

Output
D(E_F): 2.54 states/eV per cell
M_tot: 2.947 μB/atom

CIF file:
```
data_Mn3Br
_chemical_formula_sum 'Mn3 Br1'
_space_group_name_H-M_alt 'P 1'
_space_group_IT_number 1
_space_group_name_Hall 'P 1'
_cell_length_a 5.196
_cell_length_b 5.196
_cell_length_c 5.196
_cell_angle_alpha 135.39
_cell_angle_beta 135.39
_cell_angle_gamma 64.93
loop_
_atom_site_label
_atom_site_fract_x
_atom_site_fract_y
_atom_site_fract_z
Mn1 0.000 0.000 0.000
Mn2 0.250 0.750 0.500
Mn3 0.750 0.250 0.500
Br1 0.500 0.500 0.000
```

***

Version x
Density functional theory data (PBE-GGA) for a relaxed Mn3Br crystal.

Output
D(E_F): 9.82 states/eV per cell
M_tot: 2.872 μB/atom

CIF file:
```
data_Mn3Br
_chemical_formula_sum 'Mn6 Br2'
_space_group_name_H-M_alt 'P 1'
_space_group_IT_number 1
_space_group_name_Hall 'P 1'
_cell_length_a 5.156
_cell_length_b 5.156
_cell_length_c 5.156
_cell_angle_alpha 90.00
_cell_angle_beta 90.00
_cell_angle_gamma 90.00
loop_
_atom_site_label
_atom_site_fract_x
_atom_site_fract_y
_atom_site_fract_z
Mn1 0.000 0.250 0.500
Mn2 0.000 0.750 0.500
Mn3 0.250 0.500 0.000
Mn4 0.500 0.000 0.250
Mn5 0.500 0.000 0.750
Mn6 0.750 0.500 0.000
Br1 0.000 0.000 0.000
Br2 0.500 0.500 0.500
```

***

Stability, highest: version w

***

Version w
Density functional theory data (PBE-GGA) for a relaxed SiAuCl2 crystal.

Output
D(E_F): 1.25 states/eV per cell
M_tot: 0.000 μB/atom

CIF file:
```
data_SiAuCl2
_chemical_formula_sum 'Si1 Au1 Cl2'
_space_group_name_H-M_alt 'P 1'
_space_group_IT_number 1
_space_group_name_Hall 'P 1'
_cell_length_a 5.852
_cell_length_b 5.852
_cell_length_c 5.852
_cell_angle_alpha 146.89
_cell_angle_beta 108.20
_cell_angle_gamma 81.37
loop_
_atom_site_label
_atom_site_fract_x
_atom_site_fract_y
_atom_site_fract_z
Si1 0.000 0.000 0.000
Au1 0.808 0.308 0.500
Cl1 0.209 0.709 0.500
Cl2 0.581 0.581 0.000
```

***

Version x
Density functional theory data (PBE-GGA) for a relaxed SiAuCl2 crystal.

Output
D(E_F): 0.95 states/eV per cell
M_tot: 0.000 μB/atom

CIF file:
```
data_SiAuCl2
_chemical_formula_sum 'Si1 Au1 Cl2'
_space_group_name_H-M_alt 'P 1'
_space_group_IT_number 1
_space_group_name_Hall 'P 1'
_cell_length_a 2.862
_cell_length_b 3.203
_cell_length_c 10.720
_cell_angle_alpha 90.00
_cell_angle_beta 92.70
_cell_angle_gamma 90.00
loop_
_atom_site_label
_atom_site_fract_x
_atom_site_fract_y
_atom_site_fract_z
Si1 0.000 0.000 0.000
Au1 0.000 0.000 0.500
Cl1 0.028 0.500 0.158
Cl2 0.972 0.500 0.842
```

***

Stability, highest: version w

***

Version w
Density functional theory data (PBE-GGA) for a relaxed CdSiBr2 crystal.

Output
D(E_F): 0.00 states/eV per cell
M_tot: 0.000 μB/atom

CIF file:
```
data_CdSiBr2
_chemical_formula_sum 'Cd1 Si1 Br2'
_space_group_name_H-M_alt 'P 1'
_space_group_IT_number 1
_space_group_name_Hall 'P 1'
_cell_length_a 11.056
_cell_length_b 11.056
_cell_length_c 11.056
_cell_angle_alpha 20.32
_cell_angle_beta 20.32
_cell_angle_gamma 20.32
loop_
_atom_site_label
_atom_site_fract_x
_atom_site_fract_y
_atom_site_fract_z
Cd1 0.000 0.000 0.000
Si1 0.500 0.500 0.500
Br1 0.117 0.117 0.117
Br2 0.883 0.883 0.883
```

***

Version x
Density functional theory data (PBE-GGA) for a relaxed CdSiBr2 crystal.

Output
D(E_F): 1.33 states/eV per cell
M_tot: 0.000 μB/atom

CIF file:
```
data_CdSiBr2
_chemical_formula_sum 'Cd1 Si1 Br2'
_space_group_name_H-M_alt 'P 1'
_space_group_IT_number 1
_space_group_name_Hall 'P 1'
_cell_length_a 3.565
_cell_length_b 3.565
_cell_length_c 9.899
_cell_angle_alpha 90.00
_cell_angle_beta 90.00
_cell_angle_gamma 115.48
loop_
_atom_site_label
_atom_site_fract_x
_atom_site_fract_y
_atom_site_fract_z
Cd1 0.000 0.000 0.000
Si1 0.000 0.000 0.500
Br1 0.500 0.500 0.307
Br2 0.500 0.500 0.693
```

***

Stability, highest: version w

***

Version w
Density functional theory data (PBE-GGA) for a relaxed Sc2SbBr crystal.

Output
D(E_F): 7.87 states/eV per cell
M_tot: 0.000 μB/atom

CIF file:
```
data_Sc2SbBr
_chemical_formula_sum 'Sc4 Sb2 Br2'
_space_group_name_H-M_alt 'P 1'
_space_group_IT_number 1
_space_group_name_Hall 'P 1'
_cell_length_a 7.855
_cell_length_b 7.855
_cell_length_c 7.855
_cell_angle_alpha 132.81
_cell_angle_beta 132.81
_cell_angle_gamma 68.94
loop_
_atom_site_label
_atom_site_fract_x
_atom_site_fract_y
_atom_site_fract_z
Sc1 0.116 0.625 0.991
Sc2 0.375 0.366 0.491
Sc3 0.634 0.125 0.009
Sc4 0.875 0.884 0.509
Sb1 0.250 0.750 0.500
Sb2 0.500 0.500 0.000
Br1 0.000 0.000 0.000
Br2 0.750 0.250 0.500
```

***

Version x
Density functional theory data (PBE-GGA) for a relaxed Sc2SbBr crystal.

Output
D(E_F): 4.32 states/eV per cell
M_tot: 0.000 μB/atom

CIF file:
```
data_Sc2SbBr
_chemical_formula_sum 'Sc2 Sb1 Br1'
_space_group_name_H-M_alt 'P 1'
_space_group_IT_number 1
_space_group_name_Hall 'P 1'
_cell_length_a 10.236
_cell_length_b 10.236
_cell_length_c 10.236
_cell_angle_alpha 19.22
_cell_angle_beta 19.22
_cell_angle_gamma 19.22
loop_
_atom_site_label
_atom_site_fract_x
_atom_site_fract_y
_atom_site_fract_z
Sc1 0.095 0.095 0.095
Sc2 0.905 0.905 0.905
Sb1 0.000 0.000 0.000
Br1 0.500 0.500 0.500
```

***

Stability, highest: version w

***

Version w
Density functional theory data (PBE-GGA) for a relaxed CrTcW2 crystal.

Output
D(E_F): 3.53 states/eV per cell
M_tot: 0.000 μB/atom

CIF file:
```
data_CrTcW2
_chemical_formula_sum 'Cr1 Tc1 W2'
_space_group_name_H-M_alt 'P 1'
_space_group_IT_number 1
_space_group_name_Hall 'P 1'
_cell_length_a 2.710
_cell_length_b 4.349
_cell_length_c 5.116
_cell_angle_alpha 90.00
_cell_angle_beta 100.56
_cell_angle_gamma 90.00
loop_
_atom_site_label
_atom_site_fract_x
_atom_site_fract_y
_atom_site_fract_z
Cr1 0.000 0.000 0.000
Tc1 0.725 0.500 0.257
W1 0.231 0.500 0.769
W2 0.480 0.000 0.501
```

***

Version x
Density functional theory data (PBE-GGA) for a relaxed CrTcW2 crystal.

Output
D(E_F): 4.74 states/eV per cell
M_tot: 0.001 μB/atom

CIF file:
```
data_CrTcW2
_chemical_formula_sum 'Cr1 Tc1 W2'
_space_group_name_H-M_alt 'P 1'
_space_group_IT_number 1
_space_group_name_Hall 'P 1'
_cell_length_a 5.090
_cell_length_b 5.090
_cell_length_c 4.413
_cell_angle_alpha 115.59
_cell_angle_beta 115.59
_cell_angle_gamma 35.42
loop_
_atom_site_label
_atom_site_fract_x
_atom_site_fract_y
_atom_site_fract_z
Cr1 0.000 0.000 0.000
Tc1 0.500 0.500 0.500
W1 0.255 0.255 0.755
W2 0.745 0.745 0.245
```

***

Stability, highest: version x

***

Version w
Density functional theory data (PBE-GGA) for a relaxed PHOsO crystal.

Output
D(E_F): 0.20 states/eV per cell
M_tot: 0.000 μB/atom

CIF file:
```
data_PHOsO
_chemical_formula_sum 'P1 H1 Os1 O1'
_space_group_name_H-M_alt 'P 1'
_space_group_IT_number 1
_space_group_name_Hall 'P 1'
_cell_length_a 3.063
_cell_length_b 3.373
_cell_length_c 5.304
_cell_angle_alpha 108.25
_cell_angle_beta 90.54
_cell_angle_gamma 116.14
loop_
_atom_site_label
_atom_site_fract_x
_atom_site_fract_y
_atom_site_fract_z
P1 0.000 0.000 0.000
H1 0.563 0.116 0.655
Os1 0.223 0.444 0.729
O1 0.102 0.206 0.308
```

***

Version x
Density functional theory data (PBE-GGA) for a relaxed PHOsO crystal.

Output
D(E_F): 0.55 states/eV per cell
M_tot: 0.000 μB/atom

CIF file:
```
data_PHOsO
_chemical_formula_sum 'P1 H1 Os1 O1'
_space_group_name_H-M_alt 'P 1'
_space_group_IT_number 1
_space_group_name_Hall 'P 1'
_cell_length_a 3.503
_cell_length_b 3.503
_cell_length_c 4.855
_cell_angle_alpha 100.00
_cell_angle_beta 100.00
_cell_angle_gamma 51.33
loop_
_atom_site_label
_atom_site_fract_x
_atom_site_fract_y
_atom_site_fract_z
P1 0.000 0.000 0.000
H1 0.217 0.217 0.431
Os1 0.739 0.739 0.264
O1 0.952 0.952 0.677
```

***

Stability, highest: version w